TaGeNO after structural relaxation. Source: the Open Quantum Materials Database, functional PBE-GGA.

```
data_TaGeNO
_chemical_formula_sum 'Ta2 Ge2 N2 O2'
_space_group_name_H-M_alt 'P m c 21'
_space_group_IT_number 26
_cell_length_a 3.105
_cell_length_b 5.077
_cell_length_c 6.605
_cell_angle_alpha 90.00
_cell_angle_beta 90.00
_cell_angle_gamma 90.00
loop_
_space_group_symop_operation_xyz
'x,y,z'
'-x,-y,z+1/2'
'-x,y,z'
'x,-y,z+1/2'
loop_
_atom_site_label
_atom_site_type_symbol
_atom_site_fract_x
_atom_site_fract_y
_atom_site_fract_z
Ta1 Ta 0.000 0.077 0.000
Ge1 Ge 0.500 0.342 0.382
N1 N 0.500 0.354 0.072
O1 O 0.000 0.175 0.722
```

Output
The value obtained for the electronic total energy is -8.3797 eV per atom. Its volume is 13.01 Å³/atom.